Record 1
The following is a DFT calculation (PBE) of crystalline PtWCl2 at its relaxed geometry.

The structure in CIF format:
```
data_PtWCl2
_chemical_formula_sum 'Pt4 W4 Cl8'
_symmetry_space_group_name_H-M 'F -4 3 m'
_symmetry_Int_Tables_number 216
_symmetry_space_group_name_Hall 'F -4 2 3'
_cell_length_a 6.5134
_cell_length_b 6.5134
_cell_length_c 6.5134
_cell_angle_alpha 90.00
_cell_angle_beta 90.00
_cell_angle_gamma 90.00
loop_
_atom_site_label
_atom_site_fract_x
_atom_site_fract_y
_atom_site_fract_z
Pt1 0.0000 0.0000 0.0000
W1 0.2500 0.2500 0.7500
Cl1 0.0000 0.0000 0.5000
Cl2 0.2500 0.2500 0.2500
```

Computed properties:
uncorrected energy	-4.891	eV per atom
raw formation energy	0.781	eV per atom

=====

Record 2
The following is a DFT calculation (PBE) of crystalline PuNi5 at its relaxed geometry.

The structure in CIF format:
```
data_PuNi5
_chemical_formula_sum 'Pu1 Ni5'
_symmetry_space_group_name_H-M 'P 6/m m m'
_symmetry_Int_Tables_number 191
_symmetry_space_group_name_Hall '-P 6 2'
_cell_length_a 4.8902
_cell_length_b 4.8902
_cell_length_c 3.9529
_cell_angle_alpha 90.00
_cell_angle_beta 90.00
_cell_angle_gamma 120.00
loop_
_atom_site_label
_atom_site_fract_x
_atom_site_fract_y
_atom_site_fract_z
Pu1 0.0000 0.0000 0.0000
Ni1 0.0000 0.5000 0.5000
Ni2 0.3333 0.6667 0.0000
```

Computed properties:
uncorrected energy	-7.391	eV per atom
energy relative to the elements	-184	meV/atom

=====

Record 3
The following is a DFT calculation (PBE) of crystalline Ca2CoSe at its relaxed geometry.

The structure in CIF format:
```
data_Ca2CoSe
_chemical_formula_sum 'Ca8 Co4 Se4'
_symmetry_space_group_name_H-M 'I -4 2 d'
_symmetry_Int_Tables_number 122
_symmetry_space_group_name_Hall 'I -4 2bw'
_cell_length_a 7.5633
_cell_length_b 7.5633
_cell_length_c 7.3788
_cell_angle_alpha 90.00
_cell_angle_beta 90.00
_cell_angle_gamma 90.00
loop_
_atom_site_label
_atom_site_fract_x
_atom_site_fract_y
_atom_site_fract_z
Ca1 0.2445 0.7500 0.1250
Co1 0.0000 0.0000 0.0000
Se1 0.0000 0.0000 0.5000
```

Computed properties:
uncorrected energy	-3.920	eV per atom
raw formation energy	-0.272	eV per atom

=====

Record 4
The following is a DFT calculation (PBE) of crystalline CuAg2Pt at its relaxed geometry.

The structure in CIF format:
```
data_CuAg2Pt
_chemical_formula_sum 'Cu1 Ag2 Pt1'
_symmetry_space_group_name_H-M 'P m m m'
_symmetry_Int_Tables_number 47
_cell_length_a 3.0606
_cell_length_b 4.5070
_cell_length_c 4.6114
_cell_angle_alpha 90.00
_cell_angle_beta 90.00
_cell_angle_gamma 90.00
loop_
_symmetry_equiv_pos_as_xyz
'x,y,z'
'-x,-y,-z'
'-x,-y,z'
'x,y,-z'
'x,-y,-z'
'-x,y,z'
'-x,y,-z'
'x,-y,z'
loop_
_atom_site_label
_atom_site_fract_x
_atom_site_fract_y
_atom_site_fract_z
Cu1 0.0000 0.0000 0.0000
Ag1 0.0000 0.5000 0.5000
Ag2 0.5000 0.0000 0.5000
Pt1 0.5000 0.5000 0.0000
```

Computed properties:
uncorrected energy	-3.909	eV per atom
energy relative to the elements	50	meV/atom

=====

Record 5
The following is a DFT calculation (PBE) of crystalline InGe2Ir at its relaxed geometry.

The structure in CIF format:
```
data_InGe2Ir
_chemical_formula_sum 'In4 Ge8 Ir4'
_symmetry_space_group_name_H-M 'I -4 2 d'
_symmetry_Int_Tables_number 122
_symmetry_space_group_name_Hall 'I -4 2bw'
_cell_length_a 5.6957
_cell_length_b 5.6957
_cell_length_c 12.7440
_cell_angle_alpha 90.00
_cell_angle_beta 90.00
_cell_angle_gamma 90.00
loop_
_atom_site_label
_atom_site_fract_x
_atom_site_fract_y
_atom_site_fract_z
In1 0.0000 0.0000 0.0000
Ge1 0.1808 0.2500 0.6250
Ir1 0.0000 0.0000 0.5000
```

Computed properties:
uncorrected energy	-5.008	eV per atom
energy relative to the elements	201	meV/atom

=====

Record 6
The following is a DFT calculation (PBE) of crystalline LiAsF2 at its relaxed geometry.

The structure in CIF format:
```
data_LiAsF2
_chemical_formula_sum 'Li4 As4 F8'
_symmetry_space_group_name_H-M 'F m -3 m'
_symmetry_Int_Tables_number 225
_symmetry_space_group_name_Hall '-F 4 2 3'
_cell_length_a 5.9680
_cell_length_b 5.9680
_cell_length_c 5.9680
_cell_angle_alpha 90.00
_cell_angle_beta 90.00
_cell_angle_gamma 90.00
loop_
_atom_site_label
_atom_site_fract_x
_atom_site_fract_y
_atom_site_fract_z
Li1 0.0000 0.0000 0.0000
As1 0.0000 0.0000 0.5000
F1 0.2500 0.2500 0.2500
```

Computed properties:
uncorrected energy	-3.620	eV per atom
raw formation energy	-1.043	eV per atom

=====

Record 7
The following is a DFT calculation (PBE) of crystalline KBe2P at its relaxed geometry.

The structure in CIF format:
```
data_KBe2P
_chemical_formula_sum 'K2 Be4 P2'
_symmetry_space_group_name_H-M 'C 1 2/m 1'
_symmetry_Int_Tables_number 12
_cell_length_a 7.4328
_cell_length_b 3.5388
_cell_length_c 6.1828
_cell_angle_alpha 90.00
_cell_angle_beta 106.87
_cell_angle_gamma 90.00
loop_
_symmetry_equiv_pos_as_xyz
'x,y,z'
'-x,-y,-z'
'-x,y,-z'
'x,-y,z'
'x+1/2,y+1/2,z'
'-x+1/2,-y+1/2,-z'
'-x+1/2,y+1/2,-z'
'x+1/2,-y+1/2,z'
loop_
_atom_site_label
_atom_site_fract_x
_atom_site_fract_y
_atom_site_fract_z
K1 0.0000 0.0000 0.0000
Be1 0.1766 0.0000 0.5439
P1 0.0000 0.5000 0.5000
```

Computed properties:
uncorrected energy	-3.233	eV per atom
energy relative to the elements	257	meV/atom

=====

Record 8
The following is a DFT calculation (PBE) of crystalline Li9Mg4In11 at its relaxed geometry.

The structure in CIF format:
```
data_Li9Mg4In11
_chemical_formula_sum 'Li18 Mg8 In22'
_symmetry_space_group_name_H-M 'C m m m'
_symmetry_Int_Tables_number 65
_symmetry_space_group_name_Hall '-C 2 2'
_cell_length_a 15.8964
_cell_length_b 19.5452
_cell_length_c 3.2437
_cell_angle_alpha 90.00
_cell_angle_beta 90.00
_cell_angle_gamma 90.00
loop_
_atom_site_label
_atom_site_fract_x
_atom_site_fract_y
_atom_site_fract_z
Li1 0.0000 0.0000 0.0000
Li2 0.0981 0.4025 0.0000
Li3 0.1231 0.2293 0.0000
Mg1 0.1561 0.0797 0.0000
In1 0.0000 0.1356 0.5000
In2 0.0000 0.3060 0.5000
In3 0.0000 0.5000 0.5000
In4 0.2052 0.5000 0.5000
In5 0.2243 0.3269 0.5000
```

Computed properties:
uncorrected energy	-2.441	eV per atom
energy relative to the elements	-202	meV/atom

=====

Record 9
The following is a DFT calculation (PBE) of crystalline GePN at its relaxed geometry.

The structure in CIF format:
```
data_GePN
_chemical_formula_sum 'Ge1 P1 N1'
_symmetry_space_group_name_H-M 'P 1'
_symmetry_Int_Tables_number 1
_cell_length_a 2.9853
_cell_length_b 2.9854
_cell_length_c 6.9085
_cell_angle_alpha 90.30
_cell_angle_beta 95.83
_cell_angle_gamma 120.00
loop_
_symmetry_equiv_pos_as_xyz
'x,y,z'
loop_
_atom_site_label
_atom_site_fract_x
_atom_site_fract_y
_atom_site_fract_z
Ge1 0.0000 0.0000 0.0000
P1 0.1124 0.0602 0.3487
N1 0.3006 0.6490 0.8980
```

Computed properties:
uncorrected energy	-5.789	eV per atom
raw formation energy	0.328	eV per atom

=====

Record 10
The following is a DFT calculation (PBE) of crystalline Tm5TlCo4 at its relaxed geometry.

The structure in CIF format:
```
data_Tm5TlCo4
_chemical_formula_sum 'Tm5 Tl1 Co4'
_symmetry_space_group_name_H-M 'P 4/m m m'
_symmetry_Int_Tables_number 123
_symmetry_space_group_name_Hall '-P 4 2'
_cell_length_a 3.2938
_cell_length_b 3.2938
_cell_length_c 18.1641
_cell_angle_alpha 90.00
_cell_angle_beta 90.00
_cell_angle_gamma 90.00
loop_
_atom_site_label
_atom_site_fract_x
_atom_site_fract_y
_atom_site_fract_z
Tm1 0.0000 0.0000 0.0000
Tm2 0.0000 0.0000 0.1808
Tm3 0.0000 0.0000 0.3618
Tl1 0.5000 0.5000 0.5000
Co1 0.5000 0.5000 0.0905
Co2 0.5000 0.5000 0.2756
```

Computed properties:
uncorrected energy	-5.563	eV per atom
energy relative to the elements	-248	meV/atom

=====

Record 11
The following is a DFT calculation (PBE) of crystalline Er4Cd3Ag at its relaxed geometry.

The structure in CIF format:
```
data_Er4Cd3Ag
_chemical_formula_sum 'Er4 Cd3 Ag1'
_symmetry_space_group_name_H-M 'P m m 2'
_symmetry_Int_Tables_number 25
_cell_length_a 3.5685
_cell_length_b 4.8775
_cell_length_c 11.7329
_cell_angle_alpha 90.00
_cell_angle_beta 90.00
_cell_angle_gamma 90.00
loop_
_symmetry_equiv_pos_as_xyz
'x,y,z'
'-x,-y,z'
'-x,y,z'
'x,-y,z'
loop_
_atom_site_label
_atom_site_fract_x
_atom_site_fract_y
_atom_site_fract_z
Er1 0.0000 0.0000 0.0000
Er2 0.0000 0.5000 0.3059
Er3 0.5000 0.0000 0.4872
Er4 0.5000 0.5000 0.8145
Cd1 0.0000 0.0000 0.7271
Cd2 0.0000 0.5000 0.5768
Cd3 0.5000 0.5000 0.0802
Ag1 0.5000 0.0000 0.2273
```

Computed properties:
uncorrected energy	-3.234	eV per atom
energy relative to the elements	-253	meV/atom

=====

Record 12
The following is a DFT calculation (PBE) of crystalline Zr5Bi3N at its relaxed geometry.

The structure in CIF format:
```
data_Zr5Bi3N
_chemical_formula_sum 'Zr10 Bi6 N2'
_symmetry_space_group_name_H-M 'P 63/m c m'
_symmetry_Int_Tables_number 193
_symmetry_space_group_name_Hall '-P 6c 2'
_cell_length_a 8.6336
_cell_length_b 8.6336
_cell_length_c 5.9476
_cell_angle_alpha 90.00
_cell_angle_beta 90.00
_cell_angle_gamma 120.00
loop_
_atom_site_label
_atom_site_fract_x
_atom_site_fract_y
_atom_site_fract_z
Zr1 0.0000 0.2110 0.2500
Zr2 0.3333 0.6667 0.0000
Bi1 0.0000 0.4034 0.7500
N1 0.0000 0.0000 0.0000
```

Computed properties:
uncorrected energy	-7.589	eV per atom
raw formation energy	-0.621	eV per atom

=====

Record 13
The following is a DFT calculation (PBE) of crystalline LaHf2Re at its relaxed geometry.

The structure in CIF format:
```
data_LaHf2Re
_chemical_formula_sum 'La4 Hf8 Re4'
_symmetry_space_group_name_H-M 'F m -3 m'
_symmetry_Int_Tables_number 225
_symmetry_space_group_name_Hall '-F 4 2 3'
_cell_length_a 6.9449
_cell_length_b 6.9449
_cell_length_c 6.9449
_cell_angle_alpha 90.00
_cell_angle_beta 90.00
_cell_angle_gamma 90.00
loop_
_atom_site_label
_atom_site_fract_x
_atom_site_fract_y
_atom_site_fract_z
La1 0.0000 0.0000 0.0000
Hf1 0.2500 0.2500 0.2500
Re1 0.0000 0.0000 0.5000
```

Computed properties:
uncorrected energy	-9.088	eV per atom
energy relative to the elements	232	meV/atom